EuCdIn2: optimized geometry, GGA-PBE.

## Properties
Density of states at the Fermi level   3.3 states/eV per cell
Energy of formation   -0.30 eV per atom
Calculated density   7724 kg/m³
Energy relative to the lowest polymorph listed for this composition   25 meV/atom

a = 7.5175 Å, b = 7.5175 Å, c = 7.5175 Å
α = 90.00°, β = 90.00°, γ = 90.00°
Closest atoms and distances in Å follow each position.
Atoms (fractional coordinates):
Eu  0.0000  0.0000  0.0000  8 In 3.26
Eu  0.0000  0.5000  0.5000  8 In 3.26
Eu  0.5000  0.0000  0.5000  8 In 3.26
Eu  0.5000  0.5000  0.0000  8 In 3.26
Cd  0.0000  0.0000  0.5000  8 In 3.26
Cd  0.0000  0.5000  0.0000  8 In 3.26
Cd  0.5000  0.0000  0.0000  8 In 3.26
Cd  0.5000  0.5000  0.5000  8 In 3.26
In  0.2500  0.2500  0.2500  4 Cd 3.26, 4 Eu 3.26
In  0.2500  0.2500  0.7500  4 Eu 3.26, 4 Cd 3.26
In  0.2500  0.7500  0.2500  4 Eu 3.26, 4 Cd 3.26
In  0.2500  0.7500  0.7500  4 Cd 3.26, 4 Eu 3.26
In  0.7500  0.2500  0.2500  4 Eu 3.26, 4 Cd 3.26
In  0.7500  0.2500  0.7500  4 Cd 3.26, 4 Eu 3.26
In  0.7500  0.7500  0.2500  4 Cd 3.26, 4 Eu 3.26
In  0.7500  0.7500  0.7500  4 Eu 3.26, 4 Cd 3.26


LaEuCdIn: optimized geometry, GGA-PBE.

## Properties
Density of states at the Fermi level   40.9 states/eV per cell
Energy of formation   -0.43 eV per atom
Calculated density   6988 kg/m³

a = 7.8969 Å, b = 7.8969 Å, c = 7.8969 Å
α = 90.00°, β = 90.00°, γ = 90.00°
Closest atoms and distances in Å follow each position.
Atoms (fractional coordinates):
La  0.0000  0.0000  0.0000  4 In 3.42, 4 Cd 3.42
La  0.0000  0.5000  0.5000  4 In 3.42, 4 Cd 3.42
La  0.5000  0.0000  0.5000  4 In 3.42, 4 Cd 3.42
La  0.5000  0.5000  0.0000  4 In 3.42, 4 Cd 3.42
Eu  0.0000  0.0000  0.5000  4 Cd 3.42, 4 In 3.42
Eu  0.0000  0.5000  0.0000  4 Cd 3.42, 4 In 3.42
Eu  0.5000  0.0000  0.0000  4 Cd 3.42, 4 In 3.42
Eu  0.5000  0.5000  0.5000  4 Cd 3.42, 4 In 3.42
Cd  0.2500  0.2500  0.7500  4 La 3.42, 4 Eu 3.42
Cd  0.2500  0.7500  0.2500  4 La 3.42, 4 Eu 3.42
Cd  0.7500  0.2500  0.2500  4 La 3.42, 4 Eu 3.42
Cd  0.7500  0.7500  0.7500  4 La 3.42, 4 Eu 3.42
In  0.2500  0.2500  0.2500  4 Eu 3.42, 4 La 3.42
In  0.2500  0.7500  0.7500  4 Eu 3.42, 4 La 3.42
In  0.7500  0.2500  0.7500  4 Eu 3.42, 4 La 3.42
In  0.7500  0.7500  0.2500  4 Eu 3.42, 4 La 3.42


LiEuCdIn: optimized geometry, GGA-PBE.

## Properties
Density of states at the Fermi level   43.6 states/eV per cell
Energy of formation   -0.33 eV per atom
Calculated density   6694 kg/m³

a = 7.2632 Å, b = 7.2632 Å, c = 7.2632 Å
α = 90.00°, β = 90.00°, γ = 90.00°
Closest atoms and distances in Å follow each position.
Atoms (fractional coordinates):
Li  0.0000  0.0000  0.0000  4 Eu 3.15, 4 In 3.15
Li  0.0000  0.5000  0.5000  4 Eu 3.15, 4 In 3.15
Li  0.5000  0.0000  0.5000  4 Eu 3.15, 4 In 3.15
Li  0.5000  0.5000  0.0000  4 Eu 3.15, 4 In 3.15
Eu  0.2500  0.2500  0.7500  4 Cd 3.15, 4 Li 3.15
Eu  0.2500  0.7500  0.2500  4 Cd 3.15, 4 Li 3.15
Eu  0.7500  0.2500  0.2500  4 Cd 3.15, 4 Li 3.15
Eu  0.7500  0.7500  0.7500  4 Li 3.15, 4 Cd 3.15
Cd  0.0000  0.0000  0.5000  4 In 3.15, 4 Eu 3.15
Cd  0.0000  0.5000  0.0000  4 In 3.15, 4 Eu 3.15
Cd  0.5000  0.0000  0.0000  4 In 3.15, 4 Eu 3.15
Cd  0.5000  0.5000  0.5000  4 In 3.15, 4 Eu 3.15
In  0.2500  0.2500  0.2500  4 Cd 3.15, 4 Li 3.15
In  0.2500  0.7500  0.7500  4 Cd 3.15, 4 Li 3.15
In  0.7500  0.2500  0.7500  4 Cd 3.15, 4 Li 3.15
In  0.7500  0.7500  0.2500  4 Cd 3.15, 4 Li 3.15


EuLuCdIn: optimized geometry, GGA-PBE.

## Properties
Density of states at the Fermi level   29.9 states/eV per cell
Energy of formation   -0.37 eV per atom
Calculated density   8350 kg/m³

a = 7.6107 Å, b = 7.6107 Å, c = 7.6107 Å
α = 90.00°, β = 90.00°, γ = 90.00°
Closest atoms and distances in Å follow each position.
Atoms (fractional coordinates):
Eu  0.0000  0.0000  0.0000  4 Cd 3.30, 4 In 3.30
Eu  0.0000  0.5000  0.5000  4 Cd 3.30, 4 In 3.30
Eu  0.5000  0.0000  0.5000  4 Cd 3.30, 4 In 3.30
Eu  0.5000  0.5000  0.0000  4 Cd 3.30, 4 In 3.30
Lu  0.0000  0.0000  0.5000  4 In 3.30, 4 Cd 3.30
Lu  0.0000  0.5000  0.0000  4 In 3.30, 4 Cd 3.30
Lu  0.5000  0.0000  0.0000  4 In 3.30, 4 Cd 3.30
Lu  0.5000  0.5000  0.5000  4 In 3.30, 4 Cd 3.30
Cd  0.2500  0.2500  0.7500  4 Eu 3.30, 4 Lu 3.30
Cd  0.2500  0.7500  0.2500  4 Eu 3.30, 4 Lu 3.30
Cd  0.7500  0.2500  0.2500  4 Eu 3.30, 4 Lu 3.30
Cd  0.7500  0.7500  0.7500  4 Eu 3.30, 4 Lu 3.30
In  0.2500  0.2500  0.2500  4 Eu 3.30, 4 Lu 3.30
In  0.2500  0.7500  0.7500  4 Eu 3.30, 4 Lu 3.30
In  0.7500  0.2500  0.7500  4 Eu 3.30, 4 Lu 3.30
In  0.7500  0.7500  0.2500  4 Eu 3.30, 4 Lu 3.30


EuMgCdIn: optimized geometry, GGA-PBE.

## Properties
Density of states at the Fermi level   31.0 states/eV per cell
Energy of formation   -0.33 eV per atom
Calculated density   6522 kg/m³

a = 7.4348 Å, b = 7.4348 Å, c = 7.4348 Å
α = 90.00°, β = 90.00°, γ = 90.00°
Closest atoms and distances in Å follow each position.
Atoms (fractional coordinates):
Eu  0.0000  0.0000  0.0000  4 In 3.22, 4 Cd 3.22
Eu  0.0000  0.5000  0.5000  4 In 3.22, 4 Cd 3.22
Eu  0.5000  0.0000  0.5000  4 In 3.22, 4 Cd 3.22
Eu  0.5000  0.5000  0.0000  4 In 3.22, 4 Cd 3.22
Mg  0.0000  0.0000  0.5000  4 Cd 3.22, 4 In 3.22
Mg  0.0000  0.5000  0.0000  4 Cd 3.22, 4 In 3.22
Mg  0.5000  0.0000  0.0000  4 Cd 3.22, 4 In 3.22
Mg  0.5000  0.5000  0.5000  4 Cd 3.22, 4 In 3.22
Cd  0.2500  0.2500  0.7500  4 Mg 3.22, 4 Eu 3.22
Cd  0.2500  0.7500  0.2500  4 Mg 3.22, 4 Eu 3.22
Cd  0.7500  0.2500  0.2500  4 Mg 3.22, 4 Eu 3.22
Cd  0.7500  0.7500  0.7500  4 Eu 3.22, 4 Mg 3.22
In  0.2500  0.2500  0.2500  4 Mg 3.22, 4 Eu 3.22
In  0.2500  0.7500  0.7500  4 Mg 3.22, 4 Eu 3.22
In  0.7500  0.2500  0.7500  4 Mg 3.22, 4 Eu 3.22
In  0.7500  0.7500  0.2500  4 Mg 3.22, 4 Eu 3.22


EuCdInPb: optimized geometry, GGA-PBE.

## Properties
Density of states at the Fermi level   14.4 states/eV per cell
Energy of formation   -0.24 eV per atom
Calculated density   8484 kg/m³

a = 7.7144 Å, b = 7.7144 Å, c = 7.7144 Å
α = 90.00°, β = 90.00°, γ = 90.00°
Closest atoms and distances in Å follow each position.
Atoms (fractional coordinates):
Eu  0.0000  0.0000  0.0000  4 Cd 3.34, 4 Pb 3.34
Eu  0.0000  0.5000  0.5000  4 Cd 3.34, 4 Pb 3.34
Eu  0.5000  0.0000  0.5000  4 Cd 3.34, 4 Pb 3.34
Eu  0.5000  0.5000  0.0000  4 Cd 3.34, 4 Pb 3.34
Cd  0.2500  0.2500  0.7500  4 In 3.34, 4 Eu 3.34
Cd  0.2500  0.7500  0.2500  4 In 3.34, 4 Eu 3.34
Cd  0.7500  0.2500  0.2500  4 In 3.34, 4 Eu 3.34
Cd  0.7500  0.7500  0.7500  4 Eu 3.34, 4 In 3.34
In  0.0000  0.0000  0.5000  4 Cd 3.34, 4 Pb 3.34
In  0.0000  0.5000  0.0000  4 Cd 3.34, 4 Pb 3.34
In  0.5000  0.0000  0.0000  4 Cd 3.34, 4 Pb 3.34
In  0.5000  0.5000  0.5000  4 Cd 3.34, 4 Pb 3.34
Pb  0.2500  0.2500  0.2500  4 In 3.34, 4 Eu 3.34
Pb  0.2500  0.7500  0.7500  4 In 3.34, 4 Eu 3.34
Pb  0.7500  0.2500  0.7500  4 In 3.34, 4 Eu 3.34
Pb  0.7500  0.7500  0.2500  4 In 3.34, 4 Eu 3.34


EuCdInPd: optimized geometry, GGA-PBE.

## Properties
Density of states at the Fermi level   47.9 states/eV per cell
Energy of formation   -0.41 eV per atom
Calculated density   8766 kg/m³

a = 7.1659 Å, b = 7.1659 Å, c = 7.1659 Å
α = 90.00°, β = 90.00°, γ = 90.00°
Closest atoms and distances in Å follow each position.
Atoms (fractional coordinates):
Eu  0.0000  0.0000  0.0000  4 Cd 3.10, 4 Pd 3.10
Eu  0.0000  0.5000  0.5000  4 Cd 3.10, 4 Pd 3.10
Eu  0.5000  0.0000  0.5000  4 Cd 3.10, 4 Pd 3.10
Eu  0.5000  0.5000  0.0000  4 Cd 3.10, 4 Pd 3.10
Cd  0.2500  0.2500  0.7500  4 In 3.10, 4 Eu 3.10
Cd  0.2500  0.7500  0.2500  4 In 3.10, 4 Eu 3.10
Cd  0.7500  0.2500  0.2500  4 In 3.10, 4 Eu 3.10
Cd  0.7500  0.7500  0.7500  4 In 3.10, 4 Eu 3.10
In  0.0000  0.0000  0.5000  4 Pd 3.10, 4 Cd 3.10
In  0.0000  0.5000  0.0000  4 Pd 3.10, 4 Cd 3.10
In  0.5000  0.0000  0.0000  4 Pd 3.10, 4 Cd 3.10
In  0.5000  0.5000  0.5000  4 Pd 3.10, 4 Cd 3.10
Pd  0.2500  0.2500  0.2500  4 Eu 3.10, 4 In 3.10
Pd  0.2500  0.7500  0.7500  4 In 3.10, 4 Eu 3.10
Pd  0.7500  0.2500  0.7500  4 In 3.10, 4 Eu 3.10
Pd  0.7500  0.7500  0.2500  4 In 3.10, 4 Eu 3.10


EuCdInPt: optimized geometry, GGA-PBE.

## Properties
Density of states at the Fermi level   44.3 states/eV per cell
Energy of formation   -0.45 eV per atom
Calculated density   10524 kg/m³

a = 7.1299 Å, b = 7.1299 Å, c = 7.1299 Å
α = 90.00°, β = 90.00°, γ = 90.00°
Closest atoms and distances in Å follow each position.
Atoms (fractional coordinates):
Eu  0.0000  0.0000  0.0000  4 Cd 3.09, 4 Pt 3.09
Eu  0.0000  0.5000  0.5000  4 Cd 3.09, 4 Pt 3.09
Eu  0.5000  0.0000  0.5000  4 Cd 3.09, 4 Pt 3.09
Eu  0.5000  0.5000  0.0000  4 Cd 3.09, 4 Pt 3.09
Cd  0.2500  0.2500  0.2500  4 In 3.09, 4 Eu 3.09
Cd  0.2500  0.7500  0.7500  4 In 3.09, 4 Eu 3.09
Cd  0.7500  0.2500  0.7500  4 In 3.09, 4 Eu 3.09
Cd  0.7500  0.7500  0.2500  4 In 3.09, 4 Eu 3.09
In  0.0000  0.0000  0.5000  4 Pt 3.09, 4 Cd 3.09
In  0.0000  0.5000  0.0000  4 Pt 3.09, 4 Cd 3.09
In  0.5000  0.0000  0.0000  4 Pt 3.09, 4 Cd 3.09
In  0.5000  0.5000  0.5000  4 Pt 3.09, 4 Cd 3.09
Pt  0.2500  0.2500  0.7500  4 In 3.09, 4 Eu 3.09
Pt  0.2500  0.7500  0.2500  4 In 3.09, 4 Eu 3.09
Pt  0.7500  0.2500  0.2500  4 In 3.09, 4 Eu 3.09
Pt  0.7500  0.7500  0.7500  4 In 3.09, 4 Eu 3.09